TlOs3 after structural relaxation, computed with GGA-PBE.

Output
V, Å³ per cell: 65.1
Total magnetization, μB/cell: 0.5
Total energy, eV per cell: -31.42
Formation energy from the elements, meV/atom: 1158

Cell: 4.707 4.707 2.937 Å, 90.00 90.00 90.00°
Positions (direct):
Tl1 0.000 0.000 0.000
Os1 0.000 0.500 0.500
Os2 0.500 0.000 0.500
Os3 0.500 0.500 0.000